Material: Sb2WIN
Method: DFT, PBE-GGA
State: relaxed

a = 5.1994 Å, b = 5.1994 Å, c = 5.8828 Å
α = 90.00°, β = 90.00°, γ = 90.00°
Space group P4/mmm (No. 123)
One atom of each set of equivalent atoms:
Sb (0.0000, 0.5000, 0.0000)
W (0.0000, 0.0000, 0.0000)
I (0.0000, 0.0000, 0.5000)
N (0.5000, 0.5000, 0.5000)

## Properties
Formation energy (no corrections) (meV/atom): 1547.9
Crystal system: tetragonal
Polymorph energy (0 for the lowest one) (eV/f.u.): 5.879

---

Material: Ru3Pb2
Method: DFT, PBE-GGA
State: relaxed

a = 4.5563 Å, b = 4.5563 Å, c = 5.5567 Å
α = 90.00°, β = 90.00°, γ = 120.00°
Space group P-3m1 (No. 164)
One atom of each set of equivalent atoms:
Ru (0.0000, 0.0000, 0.0000)
Ru (0.3333, 0.6667, 0.3025)
Pb (0.3333, 0.6667, 0.7899)

## Properties
ΔH_f (0 K) (kJ/mol of formula units): 406
Crystal system: trigonal
Polymorph energy (0 for the lowest one) (eV/f.u.): 0.463

---

Material: Hf3ScTa
Method: DFT, PBE-GGA
State: relaxed

a = 5.1075 Å, b = 5.1075 Å, c = 5.1075 Å
α = 90.00°, β = 90.00°, γ = 90.00°
Space group Pm-3m (No. 221)
One atom of each set of equivalent atoms:
Hf (0.0000, 0.0000, 0.5000)
Sc (0.5000, 0.5000, 0.5000)
Ta (0.0000, 0.0000, 0.0000)

## Properties
ΔH_f (0 K) (kJ/mol of formula units): 439
Crystal system: cubic
Polymorph energy (0 for the lowest one) (eV/f.u.): 0.000

---

Material: TcAgHPd2
Method: DFT, PBE-GGA
State: relaxed

a = 4.1523 Å, b = 4.1523 Å, c = 3.8993 Å
α = 90.00°, β = 90.00°, γ = 90.00°
Space group P4/mmm (No. 123)
One atom of each set of equivalent atoms:
Tc (0.0000, 0.0000, 0.0000)
Ag (0.5000, 0.5000, 0.0000)
H (0.0000, 0.0000, 0.5000)
Pd (0.0000, 0.5000, 0.5000)

## Properties
Crystal system: tetragonal
Calculated total energy (eV per atom): -5.12

---

Material: Cs3LiNp2O9
Method: DFT, PBE-GGA
State: relaxed

a = 6.2934 Å, b = 6.2934 Å, c = 7.7674 Å
α = 90.00°, β = 90.00°, γ = 120.00°
Space group P-3m1 (No. 164)
One atom of each set of equivalent atoms:
Cs (0.0000, 0.0000, 0.0000)
Cs (0.3333, 0.6667, 0.6487)
Li (0.0000, 0.0000, 0.5000)
Np (0.3333, 0.6667, 0.1545)
O (0.0000, 0.5000, 0.0000)
O (0.1872, 0.3744, 0.2997)

## Properties
Formation energy (no corrections) (meV/atom): -2258.7
Crystal system: trigonal

---

Material: NaSrEu2
Method: DFT, PBE-GGA
State: relaxed

a = 6.3779 Å, b = 6.3779 Å, c = 4.5388 Å
α = 90.00°, β = 90.00°, γ = 90.00°
Space group P4/mmm (No. 123)
One atom of each set of equivalent atoms:
Na (0.0000, 0.0000, 0.0000)
Sr (0.5000, 0.5000, 0.0000)
Eu (0.0000, 0.5000, 0.5000)

## Properties
ΔH_f (0 K) (kJ/mol of formula units): 40
Crystal system: tetragonal
Polymorph energy (0 for the lowest one) (eV/f.u.): 0.131

---

no.,V (Å³ per atom)
1,31.81
2,19.98
3,26.65
4,13.45
5,17.76
6,46.16